Below is HoGeRu2 after structural relaxation, with properties calculated at the PBE-GGA level.

a = 3.314 Å, b = 4.442 Å, c = 4.442 Å
α = 90.00°, β = 90.00°, γ = 90.00°
Atoms (fractional coordinates):
Ru (0.000, 0.000, 0.500)
Ru (0.000, 0.500, 0.000)
Ge (0.500, 0.000, 0.000)
Ho (0.500, 0.500, 0.500)

M_tot: 0.000 μB/atom
volume: 65.4 Å³/f.u.
energy: -7.283 eV/atom

=====

Below is Ho2Ge3Ru after structural relaxation, with properties calculated at the PBE-GGA level.

a = 4.396 Å, b = 5.596 Å, c = 5.756 Å
α = 75.79°, β = 67.55°, γ = 66.87°
Atoms (fractional coordinates):
Ho (0.544, 0.198, 0.713)
Ho (0.437, 0.813, 0.314)
Ge (0.868, 0.601, 0.662)
Ge (0.811, 0.253, 0.125)
Ge (0.170, 0.752, 0.908)
Ru (0.170, 0.383, 0.277)

M_tot: 0.000 μB/atom
volume: 119.6 Å³/f.u.
energy: -6.020 eV/atom

=====

Energy of formation from the pure elements readings, ordered: -347, -639 meV per atom